1.
Entry from Alexandria via LeMat-Bulk: an optimized crystal structure of Nd2Sc3 (PBE-GGA).

Computed properties:
calculated formation energy	0.1509	eV per atom
total magnetization	0.00	μB/cell
calculated total energy	-0.40830	Ry per atom

CIF file:
```
data_Nd2Sc3
_chemical_formula_sum 'Nd8 Sc12'
_cell_length_a 6.846
_cell_length_b 8.899
_cell_length_c 9.575
_cell_angle_alpha 90.00
_cell_angle_beta 90.00
_cell_angle_gamma 90.00
_symmetry_space_group_name_H-M 'P b c n'
_symmetry_Int_Tables_number 60
_symmetry_space_group_name_Hall '-P 2n 2ab'
loop_
_atom_site_label
_atom_site_type_symbol
_atom_site_fract_x
_atom_site_fract_y
_atom_site_fract_z
Nd1 Nd 0.117 0.191 0.099
Sc1 Sc 0.000 0.147 0.750
Sc2 Sc 0.146 0.471 0.871
```


2.
Entry from Alexandria via LeMat-Bulk: an optimized crystal structure of BaScW2 (PBE-GGA).

Computed properties:
calculated formation energy	1.5288	eV per atom
total magnetization	0.00	μB/cell
calculated total energy	-0.51533	Ry per atom

CIF file:
```
data_BaScW2
_chemical_formula_sum 'Ba1 Sc1 W2'
_cell_length_a 4.921
_cell_length_b 4.921
_cell_length_c 3.478
_cell_angle_alpha 90.00
_cell_angle_beta 90.00
_cell_angle_gamma 90.00
_symmetry_space_group_name_H-M 'P 4/m m m'
_symmetry_Int_Tables_number 123
_symmetry_space_group_name_Hall '-P 4 2'
loop_
_atom_site_label
_atom_site_type_symbol
_atom_site_fract_x
_atom_site_fract_y
_atom_site_fract_z
Ba1 Ba 0.000 0.000 0.000
Sc1 Sc 0.500 0.500 0.000
W1 W 0.000 0.500 0.500
```


3.
Entry from Alexandria via LeMat-Bulk: an optimized crystal structure of RbPaTe4Pt (PBE-GGA).

Computed properties:
total magnetization	0.00	μB/cell
ΔE_f (raw)	-0.71	eV/atom
calculated total energy	-0.35717	Ry per atom

CIF file:
```
data_RbPaTe4Pt
_chemical_formula_sum 'Rb2 Pa2 Te8 Pt2'
_cell_length_a 7.444
_cell_length_b 6.269
_cell_length_c 10.309
_cell_angle_alpha 90.00
_cell_angle_beta 106.68
_cell_angle_gamma 90.00
_symmetry_space_group_name_H-M 'P 1 21/m 1'
_symmetry_Int_Tables_number 11
_symmetry_space_group_name_Hall '-P 2yb'
loop_
_atom_site_label
_atom_site_type_symbol
_atom_site_fract_x
_atom_site_fract_y
_atom_site_fract_z
Rb1 Rb 0.211 0.250 0.047
Pa1 Pa 0.281 0.250 0.556
Te1 Te 0.013 0.501 0.694
Te2 Te 0.430 0.750 0.619
Te3 Te 0.456 0.750 0.156
Pt1 Pt 0.299 0.750 0.357
```


4.
Entry from Alexandria via LeMat-Bulk: an optimized crystal structure of Li2Hf2MnS6 (PBE-GGA).

Computed properties:
total magnetization	1.90	μB/cell
ΔE_f (raw)	-1.28	eV/atom
calculated total energy	-0.47923	Ry per atom

CIF file:
```
data_Li2Hf2MnS6
_chemical_formula_sum 'Li4 Hf4 Mn2 S12'
_cell_length_a 6.065
_cell_length_b 10.516
_cell_length_c 6.580
_cell_angle_alpha 90.00
_cell_angle_beta 108.05
_cell_angle_gamma 90.00
_symmetry_space_group_name_H-M 'C 1 2/m 1'
_symmetry_Int_Tables_number 12
_symmetry_space_group_name_Hall '-C 2y'
loop_
_atom_site_label
_atom_site_type_symbol
_atom_site_fract_x
_atom_site_fract_y
_atom_site_fract_z
Li1 Li 0.000 0.172 0.000
Hf1 Hf 0.000 0.334 0.500
Mn1 Mn 0.000 0.000 0.500
S1 S 0.234 0.000 0.267
S2 S 0.236 0.158 0.733
```


5.
Entry from Alexandria via LeMat-Bulk: an optimized crystal structure of ThCuPdRh (PBE-GGA).

Computed properties:
calculated formation energy	-0.6531	eV per atom
total magnetization	0.00	μB/cell
calculated total energy	-0.49010	Ry per atom

CIF file:
```
data_ThCuPdRh
_chemical_formula_sum 'Th1 Cu1 Pd1 Rh1'
_cell_length_a 3.954
_cell_length_b 4.071
_cell_length_c 4.477
_cell_angle_alpha 90.00
_cell_angle_beta 90.00
_cell_angle_gamma 90.00
_symmetry_space_group_name_H-M 'P m m m'
_symmetry_Int_Tables_number 47
_symmetry_space_group_name_Hall '-P 2 2'
loop_
_atom_site_label
_atom_site_type_symbol
_atom_site_fract_x
_atom_site_fract_y
_atom_site_fract_z
Th1 Th 0.000 0.000 0.000
Cu1 Cu 0.000 0.500 0.500
Pd1 Pd 0.500 0.000 0.500
Rh1 Rh 0.500 0.500 0.000
```


6.
Entry from Alexandria via LeMat-Bulk: an optimized crystal structure of CaPmInGa (PBE-GGA).

Computed properties:
calculated formation energy	-0.4598	eV per atom
total magnetization	0.00	μB/cell
calculated total energy	-0.26380	Ry per atom

CIF file:
```
data_CaPmInGa
_chemical_formula_sum 'Ca4 Pm4 In4 Ga4'
_cell_length_a 7.534
_cell_length_b 7.534
_cell_length_c 7.534
_cell_angle_alpha 90.00
_cell_angle_beta 90.00
_cell_angle_gamma 90.00
_symmetry_space_group_name_H-M 'F -4 3 m'
_symmetry_Int_Tables_number 216
_symmetry_space_group_name_Hall 'F -4 2 3'
loop_
_atom_site_label
_atom_site_type_symbol
_atom_site_fract_x
_atom_site_fract_y
_atom_site_fract_z
Ca1 Ca 0.000 0.000 0.000
Pm1 Pm 0.000 0.000 0.500
In1 In 0.250 0.250 0.750
Ga1 Ga 0.250 0.250 0.250
```


7.
Entry from Alexandria via LeMat-Bulk: an optimized crystal structure of Re2PSe (PBE-GGA).

Computed properties:
total magnetization	0.00	μB/cell
ΔE_f (raw)	0.27	eV/atom
calculated total energy	-0.60097	Ry per atom

CIF file:
```
data_Re2PSe
_chemical_formula_sum 'Re2 P1 Se1'
_cell_length_a 2.895
_cell_length_b 3.994
_cell_length_c 5.279
_cell_angle_alpha 90.00
_cell_angle_beta 90.00
_cell_angle_gamma 90.00
_symmetry_space_group_name_H-M 'P m m 2'
_symmetry_Int_Tables_number 25
_symmetry_space_group_name_Hall 'P 2 -2'
loop_
_atom_site_label
_atom_site_type_symbol
_atom_site_fract_x
_atom_site_fract_y
_atom_site_fract_z
Re1 Re 0.000 0.000 0.000
Re2 Re 0.500 0.500 0.279
P1 P 0.500 0.500 0.841
Se1 Se 0.000 0.000 0.469
```


8.
Entry from Alexandria via LeMat-Bulk: an optimized crystal structure of LiY3Ni (PBE-GGA).

Computed properties:
calculated formation energy	0.0124	eV per atom
total magnetization	0.00	μB/cell
calculated total energy	-0.39727	Ry per atom

CIF file:
```
data_LiY3Ni
_chemical_formula_sum 'Li1 Y3 Ni1'
_cell_length_a 5.308
_cell_length_b 5.308
_cell_length_c 5.308
_cell_angle_alpha 90.00
_cell_angle_beta 90.00
_cell_angle_gamma 90.00
_symmetry_space_group_name_H-M 'P m -3 m'
_symmetry_Int_Tables_number 221
_symmetry_space_group_name_Hall '-P 4 2 3'
loop_
_atom_site_label
_atom_site_type_symbol
_atom_site_fract_x
_atom_site_fract_y
_atom_site_fract_z
Li1 Li 0.000 0.000 0.000
Y1 Y 0.000 0.500 0.500
Ni1 Ni 0.500 0.500 0.500
```